Computed, not measured: crystalline K2Zn3AgSb4 at its relaxed geometry at the PBE level of DFT.

a b c (Å): 4.8286 4.8286 11.4369
angles (deg): 90.00 90.00 90.00
Closest atoms and distances in Å follow each position.
Fractional coordinates of all 10 atoms:
K 0.0000 0.5000 0.2421  8 Sb 3.64-3.81, 6 Zn 3.67-3.69, 2 Ag 3.67
K 0.5000 0.0000 0.7579  8 Sb 3.64-3.81, 6 Zn 3.67-3.69, 2 Ag 3.67
Zn 0.0000 0.0000 0.0000  4 Sb 2.85
Zn 0.0000 0.5000 0.6354  5 Sb 2.66-2.87
Zn 0.5000 0.0000 0.3646  5 Sb 2.66-2.87
Ag 0.5000 0.5000 0.0000  4 Sb 2.85
Sb 0.0000 0.0000 0.5000  4 Zn 2.87
Sb 0.0000 0.5000 0.8682  3 Zn 2.66-2.85, 2 Ag 2.85
Sb 0.5000 0.0000 0.1318  3 Zn 2.66-2.85, 2 Ag 2.85
Sb 0.5000 0.5000 0.5000  4 Zn 2.87

Computed properties:
Mass density (g/cm³): 5.4
Total DFT energy (no corrections) (eV per atom): -2.763
Uncorrected formation energy (kJ/mol of formula units): -219
Space group: No. 115

---

Computed, not measured: crystalline KZnAgSb2 at its relaxed geometry at the PBE level of DFT.

a b c (Å): 6.7409 6.7409 6.7409
angles (deg): 137.42 137.42 61.80
Closest atoms and distances in Å follow each position.
Fractional coordinates of all 5 atoms:
K 0.0000 0.0000 0.0000  8 Sb 3.76, 4 Zn 3.79, 4 Ag 3.79
Zn 0.7500 0.2500 0.5000  4 Sb 2.83
Ag 0.2500 0.7500 0.5000  4 Sb 2.83
Sb 0.3734 0.3734 0.0000  2 Zn 2.83, 2 Ag 2.83, 1 Sb 2.93
Sb 0.6266 0.6266 0.0000  2 Zn 2.83, 2 Ag 2.83, 1 Sb 2.93

Computed properties:
Mass density (g/cm³): 5.5
Total DFT energy (no corrections) (eV per atom): -2.884
Uncorrected formation energy (kJ/mol of formula units): -92
Space group: No. 119

---

Q: Which of these has the lowest mass density?
A: K2Zn3AgSb4